12
Lattice="9.476 -2.172 0.000 9.476 2.172 0.000 -1.959 0.000 8.495" Properties=species:S:1:pos:R:3 comment="Pr6BiAs2Se3 | Alexandria | GGA-PBE | relaxed" sg="No. 12" final_energy_ev_per_atom=-5.96 total_magnetization_mub_per_fu=0.0 e_form_raw_mev_per_atom=-1601.2 pbc="T T T"
Pr -0.432 0.000 2.258
Pr 4.433 0.000 7.664
Pr 5.426 0.000 3.587
Pr 11.567 0.000 4.908
Pr 12.560 0.000 0.830
Pr 17.425 0.000 6.237
Bi 9.476 0.000 0.000
As 2.521 0.000 2.844
As 14.472 0.000 5.651
Se 1.472 0.000 7.077
Se 8.497 0.000 4.247
Se 15.521 0.000 1.418

=====

12
Lattice="4.399 0.000 0.000 -2.200 3.810 0.000 0.000 0.000 21.969" Properties=species:S:1:pos:R:3 comment="PrSmBiAs | Alexandria | GGA-PBE | relaxed" sg="No. 160" final_energy_ev_per_atom=-5.71 total_magnetization_mub_per_fu=0.0 formation_energy_ev_per_fu=-4.82 pbc="T T T"
Pr 0.000 0.000 0.000
Pr 0.000 2.540 14.646
Pr 2.200 1.270 7.323
Sm 0.000 0.000 10.661
Sm 0.000 2.540 3.338
Sm 2.200 1.270 17.984
Bi 0.000 0.000 5.291
Bi 0.000 2.540 19.938
Bi 2.200 1.270 12.615
As 0.000 0.000 16.354
As 0.000 2.540 9.030
As 2.200 1.270 1.707

=====

14
Lattice="5.635 0.000 0.000 0.000 5.680 0.000 0.000 0.000 17.461" Properties=species:S:1:pos:R:3 comment="Sr3PrBi2As | Alexandria | GGA-PBE | relaxed" sg="No. 71" final_energy_ev_per_atom=-4.07 total_magnetization_mub_per_fu=0.0 formation_energy_ev_per_fu=-6.29 pbc="T T T"
Sr 0.000 0.000 0.000
Sr 0.000 2.840 5.638
Sr 0.000 2.840 11.822
Sr 2.817 0.000 3.092
Sr 2.817 0.000 14.369
Sr 2.817 2.840 8.730
Pr 0.000 0.000 8.730
Pr 2.817 2.840 0.000
Bi 0.000 2.840 2.267
Bi 0.000 2.840 15.194
Bi 2.817 0.000 6.464
Bi 2.817 0.000 10.997
As 0.000 2.840 8.730
As 2.817 0.000 0.000

=====

12
Lattice="4.364 0.000 0.000 -2.182 3.779 0.000 0.000 0.000 21.804" Properties=species:S:1:pos:R:3 comment="TbPrBiAs | Alexandria | GGA-PBE | relaxed" sg="No. 160" final_energy_ev_per_atom=-5.68 total_magnetization_mub_per_fu=0.0 formation_energy_ev_per_fu=-4.77 pbc="T T T"
Tb 0.000 0.000 0.000
Tb 0.000 2.519 14.536
Tb 2.182 1.260 7.268
Pr 0.000 0.000 11.231
Pr 0.000 2.519 3.963
Pr 2.182 1.260 18.499
Bi 0.000 0.000 16.446
Bi 0.000 2.519 9.178
Bi 2.182 1.260 1.910
As 0.000 0.000 5.686
As 0.000 2.519 20.222
As 2.182 1.260 12.954

=====

12
Lattice="9.821 -2.223 0.000 9.821 2.223 0.000 -2.198 0.000 8.764" Properties=species:S:1:pos:R:3 comment="Pr6BiTe3As2 | Alexandria | GGA-PBE | relaxed" sg="No. 12" final_energy_ev_per_atom=-5.70 total_magnetization_mub_per_fu=0.0 e_form_raw_mev_per_atom=-1427.7 pbc="T T T"
Pr -0.334 0.000 2.250
Pr 5.450 0.000 3.776
Pr 4.519 0.000 7.799
Pr 12.926 0.000 0.965
Pr 11.994 0.000 4.987
Pr 17.779 0.000 6.514
Bi 9.821 0.000 0.000
Te 1.353 0.000 7.302
Te 8.722 0.000 4.382
Te 16.092 0.000 1.462
As 2.570 0.000 2.944
As 14.875 0.000 5.820

=====

12
Lattice="9.744 -2.215 0.000 9.744 2.215 0.000 -2.201 0.000 8.694" Properties=species:S:1:pos:R:3 comment="Pr6Bi2TeAs3 | Alexandria | GGA-PBE | relaxed" sg="No. 12" final_energy_ev_per_atom=-5.79 total_magnetization_mub_per_fu=0.0 e_form_raw_mev_per_atom=-1330.6 pbc="T T T"
Pr -0.421 0.000 2.050
Pr 5.453 0.000 3.731
Pr 4.595 0.000 7.868
Pr 12.691 0.000 0.826
Pr 11.833 0.000 4.964
Pr 17.707 0.000 6.645
Bi 1.406 0.000 7.235
Bi 15.880 0.000 1.459
Te 8.643 0.000 4.347
As 2.504 0.000 2.901
As 9.744 0.000 0.000
As 14.782 0.000 5.793

=====

12
Lattice="9.832 -2.249 0.000 9.832 2.249 0.000 -2.100 0.000 8.819" Properties=species:S:1:pos:R:3 comment="Pr6Bi3TeAs2 | Alexandria | GGA-PBE | relaxed" sg="No. 12" final_energy_ev_per_atom=-5.62 total_magnetization_mub_per_fu=0.0 e_form_raw_mev_per_atom=-1224.5 pbc="T T T"
Pr -0.379 0.000 2.256
Pr 5.552 0.000 3.776
Pr 4.605 0.000 7.925
Pr 12.959 0.000 0.894
Pr 12.011 0.000 5.042
Pr 17.943 0.000 6.562
Bi 1.454 0.000 7.345
Bi 8.782 0.000 4.409
Bi 16.109 0.000 1.474
Te 9.832 0.000 0.000
As 2.604 0.000 2.950
As 14.960 0.000 5.868

=====

16
Lattice="4.441 2.564 7.398 -4.441 2.564 7.398 0.000 -5.128 7.398" Properties=species:S:1:pos:R:3 comment="Pr8BiTe4As3 | Alexandria | GGA-PBE | relaxed" sg="No. 166" final_energy_ev_per_atom=-5.74 total_magnetization_mub_per_fu=0.0 e_form_raw_mev_per_atom=-1449.0 pbc="T T T"
Pr -2.313 -1.336 12.789
Pr 0.000 0.000 5.333
Pr 0.000 -2.671 9.407
Pr -2.313 1.336 9.407
Pr 2.313 -1.336 12.789
Pr 0.000 2.671 12.789
Pr 0.000 0.000 16.862
Pr 2.313 1.336 9.407
Bi 0.000 0.000 11.098
Te 0.000 0.000 0.000
Te -2.221 -1.282 7.398
Te -2.221 1.282 14.797
Te 0.000 2.564 7.398
As -4.441 0.000 11.098
As -2.221 1.282 3.699
As 2.221 1.282 3.699

=====

12
Lattice="4.377 0.000 0.000 -2.189 3.791 0.000 0.000 0.000 22.770" Properties=species:S:1:pos:R:3 comment="PrThBiAs | Alexandria | GGA-PBE | relaxed" sg="No. 160" final_energy_ev_per_atom=-6.23 total_magnetization_mub_per_fu=0.0 formation_energy_ev_per_fu=-4.21 pbc="T T T"
Pr 0.000 0.000 0.000
Pr 0.000 2.527 15.180
Pr 2.189 1.264 7.590
Th 0.000 0.000 18.501
Th 0.000 2.527 10.911
Th 2.189 1.264 3.320
Bi 0.000 0.000 5.416
Bi 0.000 2.527 20.596
Bi 2.189 1.264 13.006
As 0.000 0.000 9.326
As 0.000 2.527 1.735
As 2.189 1.264 16.916

=====

12
Lattice="4.358 0.000 0.000 -2.179 3.774 0.000 0.000 0.000 21.769" Properties=species:S:1:pos:R:3 comment="PrYBiAs | Alexandria | GGA-PBE | relaxed" sg="No. 160" final_energy_ev_per_atom=-6.14 total_magnetization_mub_per_fu=0.0 formation_energy_ev_per_fu=-4.80 pbc="T T T"
Pr 0.000 0.000 0.000
Pr 0.000 2.516 14.513
Pr 2.179 1.258 7.256
Y 0.000 0.000 10.554
Y 0.000 2.516 3.297
Y 2.179 1.258 17.810
Bi 0.000 0.000 5.200
Bi 0.000 2.516 19.712
Bi 2.179 1.258 12.456
As 0.000 0.000 16.232
As 0.000 2.516 8.975
As 2.179 1.258 1.719

=====

5
Lattice="4.966 0.000 0.000 0.000 4.966 0.000 0.000 0.000 4.966" Properties=species:S:1:pos:R:3 comment="BiAs3Pt | Alexandria | GGA-PBE | relaxed" sg="No. 221" relative_energy_ev_per_fu=0.000 final_energy_ev_per_atom=-4.34 total_magnetization_mub_per_fu=0.0 formation_energy_ev_per_fu=2.18 pbc="T T T"
Bi 0.000 0.000 0.000
As 0.000 2.483 2.483
As 2.483 0.000 2.483
As 2.483 2.483 0.000
Pt 2.483 2.483 2.483

=====

10
Lattice="7.349 0.000 0.000 0.000 7.349 0.000 0.000 0.000 4.102" Properties=species:S:1:pos:R:3 comment="Bi2AsPt2 | Alexandria | GGA-PBE | relaxed" sg="No. 127" relative_energy_ev_per_fu=0.000 final_energy_ev_per_atom=-4.94 total_magnetization_mub_per_fu=0.0 formation_energy_ev_per_fu=-0.20 pbc="T T T"
Bi 1.220 2.454 0.000
Bi 2.454 6.128 0.000
Bi 4.895 1.220 0.000
Bi 6.128 4.895 0.000
As 0.000 0.000 2.051
As 3.674 3.674 2.051
Pt 1.011 4.685 2.051
Pt 2.663 1.011 2.051
Pt 4.685 6.338 2.051
Pt 6.338 2.663 2.051

=====

12
Lattice="4.650 0.000 0.000 0.002 5.595 0.000 1.868 2.789 8.555" Properties=species:S:1:pos:R:3 comment="BiAsPt4 | Alexandria | GGA-PBE | relaxed" sg="No. 2" final_energy_ev_per_atom=-5.58 total_magnetization_mub_per_fu=0.0 formation_energy_ev_per_fu=-0.76 pbc="T T T"
Bi 3.033 4.123 8.552
Bi 3.488 4.260 0.003
As 0.935 4.192 4.278
As 3.259 1.394 4.278
Pt 1.153 6.375 2.955
Pt 1.166 3.577 1.844
Pt 3.029 6.373 6.713
Pt 3.043 3.576 5.597
Pt 3.478 4.807 2.958
Pt 3.491 2.010 1.842
Pt 5.355 4.807 6.712
Pt 5.368 2.008 5.600

=====

10
Lattice="3.877 0.000 0.000 0.000 3.877 0.000 0.000 0.000 15.579" Properties=species:S:1:pos:R:3 comment="Bi2AsPt2 | Alexandria | GGA-PBE | relaxed" sg="No. 139" relative_energy_ev_per_fu=0.264 final_energy_ev_per_atom=-4.89 total_magnetization_mub_per_fu=0.0 formation_energy_ev_per_fu=0.06 pbc="T T T"
Bi 0.000 0.000 1.761
Bi 0.000 0.000 13.819
Bi 1.939 1.939 6.029
Bi 1.939 1.939 9.551
As 0.000 0.000 7.790
As 1.939 1.939 0.000
Pt 0.000 1.939 3.895
Pt 0.000 1.939 11.685
Pt 1.939 0.000 3.895
Pt 1.939 0.000 11.685

=====

16
Lattice="6.482 0.000 0.000 0.000 6.482 0.000 0.000 0.000 12.480" Properties=species:S:1:pos:R:3 comment="Bi2AsPt | Alexandria | GGA-PBE | relaxed" sg="No. 122" final_energy_ev_per_atom=-4.56 total_magnetization_mub_per_fu=0.0 formation_energy_ev_per_fu=0.21 pbc="T T T"
Bi 1.477 1.621 1.560
Bi 1.621 4.718 4.680
Bi 1.621 5.005 10.920
Bi 1.764 1.621 7.800
Bi 4.718 4.862 7.800
Bi 4.862 1.477 10.920
Bi 4.862 1.764 4.680
Bi 5.005 4.862 1.560
As 0.000 0.000 6.240
As 0.000 3.241 9.360
As 3.241 0.000 3.120
As 3.241 3.241 0.000
Pt 0.000 0.000 0.000
Pt 0.000 3.241 3.120
Pt 3.241 0.000 9.360
Pt 3.241 3.241 6.240

=====

3
Lattice="3.995 0.000 0.000 -1.997 3.460 0.000 0.000 0.000 5.175" Properties=species:S:1:pos:R:3 comment="BiAsPt | Alexandria | GGA-PBE | relaxed" sg="No. 156" relative_energy_ev_per_fu=0.214 final_energy_ev_per_atom=-5.09 total_magnetization_mub_per_fu=0.0 formation_energy_ev_per_fu=-0.69 pbc="T T T"
Bi 0.000 0.000 0.000
As 1.997 1.153 2.629
Pt 0.000 2.307 1.640

=====

16
Lattice="6.117 0.000 0.000 0.000 6.117 0.000 0.000 0.000 11.975" Properties=species:S:1:pos:R:3 comment="BiAs2Pt | Alexandria | GGA-PBE | relaxed" sg="No. 122" final_energy_ev_per_atom=-4.85 total_magnetization_mub_per_fu=0.0 formation_energy_ev_per_fu=-0.18 pbc="T T T"
Bi 0.000 0.000 0.000
Bi 0.000 3.059 2.994
Bi 3.059 0.000 8.981
Bi 3.059 3.059 5.988
As 1.161 1.529 7.485
As 1.529 4.220 10.478
As 1.529 4.956 4.491
As 1.897 1.529 1.497
As 4.220 4.588 1.497
As 4.588 1.161 4.491
As 4.588 1.897 10.478
As 4.956 4.588 7.485
Pt 0.000 0.000 5.988
Pt 0.000 3.059 8.981
Pt 3.059 0.000 2.994
Pt 3.059 3.059 0.000

=====

12
Lattice="7.036 0.000 0.000 0.000 5.207 0.000 -0.133 0.000 7.632" Properties=species:S:1:pos:R:3 comment="BiAsPt | Alexandria | GGA-PBE | relaxed" sg="No. 14" relative_energy_ev_per_fu=0.000 final_energy_ev_per_atom=-5.16 total_magnetization_mub_per_fu=0.0 formation_energy_ev_per_fu=-0.91 pbc="T T T"
Bi 0.456 1.190 3.001
Bi 0.389 1.413 6.817
Bi 6.514 3.794 0.814
Bi 6.447 4.017 4.630
As 3.006 3.658 6.956
As 3.072 4.153 3.140
As 3.831 1.054 4.492
As 3.897 1.549 0.676
Pt 1.920 2.686 4.865
Pt 1.987 5.125 1.049
Pt 4.917 0.082 6.583
Pt 4.983 2.521 2.767

=====

8
Lattice="4.181 0.000 0.000 0.000 4.181 0.000 0.000 0.000 10.887" Properties=species:S:1:pos:R:3 comment="RbBiAs2Pt4 | Alexandria | GGA-PBE | relaxed" sg="No. 123" final_energy_ev_per_atom=-5.12 total_magnetization_mub_per_fu=0.0 formation_energy_ev_per_fu=-2.62 pbc="T T T"
Rb 0.000 0.000 0.000
Bi 0.000 0.000 5.444
As 2.090 2.090 2.095
As 2.090 2.090 8.792
Pt 0.000 2.090 3.384
Pt 0.000 2.090 7.503
Pt 2.090 0.000 3.384
Pt 2.090 0.000 7.503

=====

5
Lattice="5.484 0.000 0.000 0.000 5.484 0.000 0.000 0.000 5.187" Properties=species:S:1:pos:R:3 comment="RbBiAs2Pt | Alexandria | GGA-PBE | relaxed" sg="No. 123" final_energy_ev_per_atom=-2.38 total_magnetization_mub_per_fu=0.0 formation_energy_ev_per_fu=8.31 pbc="T T T"
Rb 0.000 0.000 0.000
Bi 2.742 2.742 2.593
As 0.000 2.742 0.000
As 2.742 0.000 0.000
Pt 0.000 0.000 2.593